Model a:
YPa2Se5 | PBE-GGA | optimized geometry

Summary:
Theoretical density   7.84 g/cm³

Unit cell a=8.0950 b=12.4332 c=3.9825 alpha=90.00 beta=90.00 gamma=90.00
Closest atoms and distances in Å follow each position.
Element x y z (fractional)
Y 0.0000 0.0000 0.0000  6 Se 2.78-2.87
Y 0.5000 0.5000 0.0000  6 Se 2.78-2.87
Pa 0.0235 0.3214 0.5000  8 Se 2.94-3.10
Pa 0.4765 0.8214 0.5000  8 Se 2.94-3.10
Pa 0.5235 0.1786 0.5000  8 Se 2.94-3.10
Pa 0.9765 0.6786 0.5000  8 Se 2.94-3.10
Se 0.0000 0.5000 0.0000  4 Pa 2.99
Se 0.1750 0.1064 0.5000  2 Y 2.78, 2 Pa 2.94-2.96
Se 0.1851 0.8030 0.0000  1 Y 2.87, 4 Pa 3.03-3.10
Se 0.3149 0.3030 0.0000  1 Y 2.87, 4 Pa 3.03-3.10
Se 0.3250 0.6064 0.5000  2 Y 2.78, 2 Pa 2.94-2.96
Se 0.5000 0.0000 0.0000  4 Pa 2.99
Se 0.6750 0.3936 0.5000  2 Y 2.78, 2 Pa 2.94-2.96
Se 0.6851 0.6970 0.0000  1 Y 2.87, 4 Pa 3.03-3.10
Se 0.8149 0.1970 0.0000  1 Y 2.87, 4 Pa 3.03-3.10
Se 0.8250 0.8936 0.5000  2 Y 2.78, 2 Pa 2.94-2.96

=====

Model b:
YPa2Se5 | PBE-GGA | optimized geometry

Summary:
Theoretical density   8.08 g/cm³

Unit cell a=8.5877 b=8.5877 c=8.5877 alpha=127.27 beta=127.27 gamma=77.81
Closest atoms and distances in Å follow each position.
Element x y z (fractional)
Y 0.2500 0.2500 0.0000  10 Se 3.18-3.34
Y 0.7500 0.7500 0.0000  10 Se 3.18-3.34
Pa 0.1481 0.6481 0.7962  8 Se 2.86-3.07, 1 Pa 3.19
Pa 0.3519 0.1481 0.5000  8 Se 2.86-3.07, 1 Pa 3.19
Pa 0.6481 0.8519 0.5000  8 Se 2.86-3.07, 1 Pa 3.19
Pa 0.8519 0.3519 0.2038  8 Se 2.86-3.07, 1 Pa 3.19
Se 0.0000 0.0000 0.0000  4 Pa 2.91
Se 0.0119 0.1924 0.5000  3 Pa 2.86-3.07, 2 Y 3.18
Se 0.1924 0.6924 0.1805  3 Pa 2.86-3.07, 2 Y 3.18
Se 0.3076 0.4881 0.5000  3 Pa 2.86-3.07, 2 Y 3.18
Se 0.4881 0.9881 0.1805  3 Pa 2.86-3.07, 2 Y 3.18
Se 0.5000 0.5000 0.0000  4 Pa 2.91
Se 0.5119 0.0119 0.8195  3 Pa 2.86-3.07, 2 Y 3.18
Se 0.6924 0.5119 0.5000  3 Pa 2.86-3.07, 2 Y 3.18
Se 0.8076 0.3076 0.8195  3 Pa 2.86-3.07, 2 Y 3.18
Se 0.9881 0.8076 0.5000  3 Pa 2.86-3.07, 2 Y 3.18

=====

Most stable structure: model a

=====

Model a:
YPaSe2 | PBE-GGA | optimized geometry

Summary:
Theoretical density   6.58 g/cm³

Unit cell a=9.3492 b=9.3492 c=9.3492 alpha=24.19 beta=24.19 gamma=24.19
Closest atoms and distances in Å follow each position.
Element x y z (fractional)
Y 0.0000 0.0000 0.0000  6 Se 2.83
Pa 0.5000 0.5000 0.5000  2 Se 2.83
Se 0.3959 0.3959 0.3959  3 Y 2.83, 1 Pa 2.83
Se 0.6041 0.6041 0.6041  3 Y 2.83, 1 Pa 2.83

=====

Model b:
YPaSe2 | PBE-GGA | optimized geometry

Summary:
Theoretical density   8.29 g/cm³

Unit cell a=4.0207 b=4.0207 c=20.5212 alpha=90.00 beta=90.00 gamma=120.00
Closest atoms and distances in Å follow each position.
Element x y z (fractional)
Y 0.0000 0.0000 0.0000  6 Se 2.88
Y 0.3333 0.6667 0.1681  6 Se 2.86-2.90
Y 0.6667 0.3333 0.8319  6 Se 2.86-2.90
Pa 0.0000 0.0000 0.5000  6 Se 2.87
Pa 0.3333 0.6667 0.6648  6 Se 2.87-2.91
Pa 0.6667 0.3333 0.3352  6 Se 2.87-2.91
Se 0.0000 0.0000 0.2495  3 Y 2.86, 3 Pa 2.91
Se 0.0000 0.0000 0.7505  3 Y 2.86, 3 Pa 2.91
Se 0.3333 0.6667 0.4177  6 Pa 2.87
Se 0.3333 0.6667 0.9167  6 Y 2.88-2.90
Se 0.6667 0.3333 0.0833  6 Y 2.88-2.90
Se 0.6667 0.3333 0.5823  6 Pa 2.87

=====

Most stable structure: model b